VASP calculation (PBE) on an optimized crystal structure of Ta2CuMo.

Cell: 4.463 2.724 5.465 Å, 80.02 90.00 90.00°
Sites, in units of the cell vectors:
Ta  0.000  0.512  0.505
Ta  0.000  0.988  0.995
Mo  0.500  0.750  0.750
Cu  0.500  0.250  0.250

Values from the calculation:
E_form: 12 kJ per mole of atoms